1.
This record from the Alexandria database describes a relaxed PmTmSe3 crystal. The functional is PBE-GGA.

As for the energy above the most stable polymorph in this dataset: 0.76 kJ/mol of atoms. For the energy relative to the elements, uncorrected, the calculation gives -1.8633 eV per atom.

Cell: 8.0772 4.0816 8.2401 Å, 90.00 95.17 90.00°
Space group P2_1/m (No. 11)
Asymmetric unit:
1 Pm 0.1213 0.2500 0.2720
2 Tm 0.3532 0.7500 0.8264
3 Se 0.1247 0.2500 0.8902
4 Se 0.1862 0.7500 0.5254
5 Se 0.4006 0.7500 0.1796



2.
This record from the Alexandria database describes a relaxed Pm3TmSe4 crystal. The functional is PBE-GGA.

As for the energy above the most stable polymorph in this dataset: 2.40 kJ/mol of atoms. Its density of states at the Fermi level is 5.12 states/eV/f.u. For the energy relative to the elements, uncorrected, the calculation gives -1.7630 eV per atom.

Cell: 5.8795 5.8795 5.8795 Å, 90.00 90.00 90.00°
Space group Pm-3m (No. 221)
Asymmetric unit:
1 Pm 0.0000 0.0000 0.5000
2 Tm 0.5000 0.5000 0.5000
3 Se 0.0000 0.0000 0.0000
4 Se 0.0000 0.5000 0.5000



3.
This record from the Alexandria database describes a relaxed PmTm2Se crystal. The functional is PBE-GGA.

As for the energy above the most stable polymorph in this dataset: 23.80 kJ/mol of atoms. Its density of states at the Fermi level is 5.66 states/eV/f.u. For the energy relative to the elements, uncorrected, the calculation gives -0.5372 eV per atom.

Cell: 3.6595 3.6595 31.2619 Å, 90.00 90.00 120.00°
Space group R-3m (No. 166, hexagonal axes)
Asymmetric unit:
1 Pm 0.0000 0.0000 0.0000
2 Tm 0.0000 0.0000 0.1090
3 Se 0.0000 0.0000 0.5000



4.
This record from the Alexandria database describes a relaxed Pm4Tm3Se8 crystal. The functional is PBE-GGA.

As for the energy above the most stable polymorph in this dataset: 0.00 kJ/mol of atoms. Its density of states at the Fermi level is 6.19 states/eV/f.u. For the energy relative to the elements, uncorrected, the calculation gives -1.8130 eV per atom.

Cell: 11.5922 11.6020 8.1983 Å, 90.00 134.92 90.00°
Space group C2/m (No. 12)
Asymmetric unit:
1 Pm 0.0000 0.0000 0.0000
2 Pm 0.0000 0.5000 0.5000
3 Pm 0.2500 0.2500 0.0000
4 Tm 0.0000 0.5000 0.0000
5 Tm 0.2500 0.2500 0.5000
6 Se 0.0000 0.2429 0.5000
7 Se 0.0000 0.2552 0.0000
8 Se 0.2479 0.0000 0.5104
9 Se 0.2487 0.0000 0.9866



5.
This record from the Alexandria database describes a relaxed Pm3Tm5Se12 crystal. The functional is PBE-GGA.

Its density of states at the Fermi level is 0.00 states/eV/f.u. For the energy relative to the elements, uncorrected, the calculation gives -1.7041 eV per atom.

Cell: 16.8334 16.8334 16.8334 Å, 90.00 90.00 90.00°
Space group Ia-3d (No. 230)
Asymmetric unit:
1 Pm 0.0000 0.2500 0.1250
2 Tm 0.0000 0.0000 0.0000
3 Tm 0.0000 0.2500 0.3750
4 Se 0.0229 0.0683 0.6518



6.
This record from the Alexandria database describes a relaxed Pm4TmSe5 crystal. The functional is PBE-GGA.

As for the energy above the most stable polymorph in this dataset: 0.61 kJ/mol of atoms. Its density of states at the Fermi level is 4.78 states/eV/f.u. For the energy relative to the elements, uncorrected, the calculation gives -1.7933 eV per atom.

Cell: 4.1531 4.1531 29.5981 Å, 90.00 90.00 90.00°
Space group I4/mmm (No. 139)
Asymmetric unit:
1 Pm 0.0000 0.0000 0.1023
2 Pm 0.0000 0.0000 0.3055
3 Tm 0.0000 0.0000 0.5000
4 Se 0.0000 0.0000 0.0000
5 Se 0.0000 0.0000 0.2031
6 Se 0.0000 0.0000 0.4050



7.
This record from the Alexandria database describes a relaxed Pm4TmSe5 crystal. The functional is PBE-GGA.

As for the energy above the most stable polymorph in this dataset: 0.00 kJ/mol of atoms. Its density of states at the Fermi level is 5.33 states/eV/f.u. For the energy relative to the elements, uncorrected, the calculation gives -1.7996 eV per atom.

Cell: 4.1567 4.1567 51.0968 Å, 90.00 90.00 120.00°
Space group R-3m (No. 166, hexagonal axes)
Asymmetric unit:
1 Pm 0.0000 0.0000 0.1014
2 Pm 0.0000 0.0000 0.2992
3 Tm 0.0000 0.0000 0.5000
4 Se 0.0000 0.0000 0.0000
5 Se 0.0000 0.0000 0.1970
6 Se 0.0000 0.0000 0.4012



8.
This record from the Alexandria database describes a relaxed Pm3Tm2Se8 crystal. The functional is PBE-GGA.

Its density of states at the Fermi level is 7.58 states/eV/f.u. For the energy relative to the elements, uncorrected, the calculation gives -1.6597 eV per atom.

Cell: 14.4132 8.3115 7.0904 Å, 90.00 109.95 90.00°
Space group C2/m (No. 12)
Asymmetric unit:
1 Pm 0.0000 0.0000 0.0000
2 Pm 0.0000 0.2626 0.5000
3 Tm 0.2430 0.5000 0.1600
4 Se 0.1184 0.5000 0.3872
5 Se 0.1232 0.0000 0.4322
6 Se 0.1282 0.2393 0.9179



9.
This record from the Alexandria database describes a relaxed Pm4TmSe7 crystal. The functional is PBE-GGA.

Its density of states at the Fermi level is 1.41 states/eV/f.u. For the energy relative to the elements, uncorrected, the calculation gives -1.8789 eV per atom.

Cell: 13.6497 4.0524 12.3804 Å, 90.00 104.88 90.00°
Space group Cm (No. 8)
Asymmetric unit:
1 Pm 0.0000 0.0000 0.0000
2 Pm 0.0864 0.5000 0.3824
3 Pm 0.1882 0.0000 0.7663
4 Pm 0.3867 0.5000 0.5721
5 Tm 0.2747 0.5000 0.1518
6 Se 0.0479 0.5000 0.6252
7 Se 0.1317 0.5000 0.9317
8 Se 0.1547 0.0000 0.2223
9 Se 0.2253 0.0000 0.5233
10 Se 0.3487 0.5000 0.7904
11 Se 0.3835 0.0000 0.0794
12 Se 0.4242 0.5000 0.3530



10.
This record from the Alexandria database describes a relaxed PmTm2Se4 crystal. The functional is PBE-GGA.

As for the energy above the most stable polymorph in this dataset: 2.82 kJ/mol of atoms. Its density of states at the Fermi level is 1.74 states/eV/f.u. For the energy relative to the elements, uncorrected, the calculation gives -1.8410 eV per atom.

Cell: 3.9858 13.3244 13.7501 Å, 90.00 90.00 90.00°
Space group Cmcm (No. 63)
Asymmetric unit:
1 Pm 0.0000 0.1248 0.2500
2 Tm 0.0000 0.3695 0.0683
3 Se 0.0000 0.0000 0.0000
4 Se 0.0000 0.2738 0.6189
5 Se 0.0000 0.4605 0.2500



11.
This record from the Alexandria database describes a relaxed Pm4Tm3Se8 crystal. The functional is PBE-GGA.

As for the energy above the most stable polymorph in this dataset: 19.79 kJ/mol of atoms. Its density of states at the Fermi level is 7.34 states/eV/f.u. For the energy relative to the elements, uncorrected, the calculation gives -1.6079 eV per atom.

Cell: 8.0659 8.0659 22.8705 Å, 90.00 90.00 120.00°
Space group R-3m (No. 166, hexagonal axes)
Asymmetric unit:
1 Pm 0.0000 0.0000 0.0000
2 Pm 0.0000 0.0000 0.1462
3 Pm 0.0000 0.0000 0.5000
4 Tm 0.0000 0.5000 0.0000
5 Se 0.0000 0.0000 0.2692
6 Se 0.0102 0.5051 0.2554



12.
This record from the Alexandria database describes a relaxed PmTm3Se4 crystal. The functional is PBE-GGA.

As for the energy above the most stable polymorph in this dataset: 0.00 kJ/mol of atoms. Its density of states at the Fermi level is 4.49 states/eV/f.u. For the energy relative to the elements, uncorrected, the calculation gives -1.6980 eV per atom.

Cell: 8.2671 11.4954 3.9932 Å, 90.00 90.00 90.00°
Space group Cmmm (No. 65)
Asymmetric unit:
1 Pm 0.0000 0.0000 0.0000
2 Tm 0.0000 0.5000 0.0000
3 Tm 0.2500 0.2500 0.5000
4 Se 0.0000 0.2555 0.0000
5 Se 0.2389 0.5000 0.5000